Entry from Alexandria: a geometry-optimized Sm4HoS5 structure (PBE-GGA).

a b c (Å): 3.9809 5.6327 19.9549
angles (deg): 90.00 90.00 90.00
Space group Immm (No. 71)
Symmetry-distinct sites (fractional):
Sm (0.0000, 0.0000, 0.1004)
Sm (0.0000, 0.0000, 0.3014)
Ho (0.0000, 0.0000, 0.5000)
S (0.0000, 0.5000, 0.0959)
S (0.0000, 0.5000, 0.2993)
S (0.0000, 0.5000, 0.5000)

Calculated values
theoretical density	6.88	g/cm³
raw formation energy	-193.68	kJ/mol of atoms
V	447.5	Å³ per cell


Entry from Alexandria: a geometry-optimized Sm2HoS structure (PBE-GGA).

a b c (Å): 3.7484 3.7484 30.1394
angles (deg): 90.00 90.00 120.00
Space group R-3m (No. 166, hexagonal axes)
Symmetry-distinct sites (fractional):
Sm (0.0000, 0.0000, 0.1111)
Ho (0.0000, 0.0000, 0.0000)
S (0.0000, 0.0000, 0.5000)

Calculated values
theoretical density	6.76	g/cm³
raw formation energy	-68.13	kJ/mol of atoms
V	366.7	Å³ per cell


Entry from Alexandria: a geometry-optimized Sm5Ho3S8 structure (PBE-GGA).

a b c (Å): 7.9116 7.9116 19.4995
angles (deg): 90.00 90.00 120.00
Space group R-3m (No. 166, hexagonal axes)
Symmetry-distinct sites (fractional):
Sm (0.0000, 0.0000, 0.0000)
Sm (0.0000, 0.0000, 0.5000)
Sm (0.0000, 0.5000, 0.0000)
Ho (0.0000, 0.5000, 0.5000)
S (0.0000, 0.0000, 0.2457)
S (0.0058, 0.5029, 0.7529)

Calculated values
theoretical density	7.08	g/cm³
raw formation energy	-193.13	kJ/mol of atoms
V	1057.0	Å³ per cell


Entry from Alexandria: a geometry-optimized SmHo4S5 structure (PBE-GGA).

a b c (Å): 3.9085 5.5249 19.5703
angles (deg): 90.00 90.00 90.00
Space group Immm (No. 71)
Symmetry-distinct sites (fractional):
Sm (0.0000, 0.0000, 0.0000)
Ho (0.0000, 0.0000, 0.2015)
Ho (0.0000, 0.0000, 0.4005)
S (0.0000, 0.5000, 0.0000)
S (0.0000, 0.5000, 0.1992)
S (0.0000, 0.5000, 0.3959)

Calculated values
theoretical density	7.63	g/cm³
raw formation energy	-190.74	kJ/mol of atoms
V	422.6	Å³ per cell


Entry from Alexandria: a geometry-optimized SmHo2S4 structure (PBE-GGA).

a b c (Å): 11.9720 3.8538 13.9938
angles (deg): 90.00 90.00 90.00
Space group Pnma (No. 62)
Symmetry-distinct sites (fractional):
Sm (0.2479, 0.2500, 0.1681)
Ho (0.0623, 0.7500, 0.8865)
Ho (0.0955, 0.7500, 0.4064)
S (0.0438, 0.2500, 0.2829)
S (0.0967, 0.7500, 0.0774)
S (0.1296, 0.2500, 0.5436)
S (0.1998, 0.2500, 0.8150)

Calculated values
theoretical density	6.26	g/cm³
raw formation energy	-197.02	kJ/mol of atoms
V	645.6	Å³ per cell
energy above the most stable polymorph in this dataset	22	meV/atom


Entry from Alexandria: a geometry-optimized Sm5HoS6 structure (PBE-GGA).

a b c (Å): 6.9064 11.9922 6.8997
angles (deg): 90.00 109.67 90.00
Space group C2/m (No. 12)
Symmetry-distinct sites (fractional):
Sm (0.0000, 0.0000, 0.0000)
Sm (0.0000, 0.1675, 0.5000)
Sm (0.0000, 0.3299, 0.0000)
Ho (0.0000, 0.5000, 0.5000)
S (0.2438, 0.5000, 0.2525)
S (0.2449, 0.3371, 0.7451)

Calculated values
theoretical density	6.85	g/cm³
raw formation energy	-194.73	kJ/mol of atoms
V	538.1	Å³ per cell


Entry from Alexandria: a geometry-optimized Sm2Ho4S9 structure (PBE-GGA).

a b c (Å): 6.9478 6.9478 18.5607
angles (deg): 90.00 90.00 120.00
Space group P-3c1 (No. 165)
Symmetry-distinct sites (fractional):
Sm (0.0000, 0.0000, 0.1470)
Ho (0.3333, 0.6667, 0.0156)
Ho (0.3333, 0.6667, 0.3156)
S (0.0000, 0.3054, 0.2500)
S (0.0304, 0.3752, 0.9164)

Calculated values
theoretical density	5.35	g/cm³
raw formation energy	-197.78	kJ/mol of atoms
V	775.9	Å³ per cell


Entry from Alexandria: a geometry-optimized Sm3Ho4S8 structure (PBE-GGA).

a b c (Å): 11.1319 11.1376 7.8571
angles (deg): 90.00 134.84 90.00
Space group C2/m (No. 12)
Symmetry-distinct sites (fractional):
Sm (0.0000, 0.0000, 0.0000)
Sm (0.2500, 0.2500, 0.0000)
Ho (0.0000, 0.5000, 0.0000)
Ho (0.0000, 0.5000, 0.5000)
Ho (0.2500, 0.2500, 0.5000)
S (0.0000, 0.2522, 0.5000)
S (0.0000, 0.2537, 0.0000)
S (0.2436, 0.5000, 0.9947)
S (0.2446, 0.5000, 0.4927)

Calculated values
theoretical density	6.57	g/cm³
raw formation energy	-197.10	kJ/mol of atoms
V	690.8	Å³ per cell


theoretical density of number 5 (SmHo2S4)?
6.26 g/cm³